# 1
DFT (meta-GGA SCAN) results for La2ReSb at its PBEsol-relaxed geometry.

Cell and atoms, written as CIF:
```
data_La2ReSb
_chemical_formula_sum 'La6 Re3 Sb3'
_cell_length_a 3.4732
_cell_length_b 3.4732
_cell_length_c 29.7309
_cell_angle_alpha 90.00
_cell_angle_beta 90.00
_cell_angle_gamma 120.00
_symmetry_space_group_name_H-M 'R -3 m'
_symmetry_Int_Tables_number 166
_symmetry_space_group_name_Hall '-R 3 2"'
loop_
_atom_site_label
_atom_site_type_symbol
_atom_site_fract_x
_atom_site_fract_y
_atom_site_fract_z
_atom_site_occupancy
La1 La 0.0000 0.0000 0.2390 1
Re1 Re 0.0000 0.0000 0.5000 1
Sb1 Sb 0.0000 0.0000 0.0000 1
```

Calculated values
The uncorrected formation energy comes out at 0.11 eV per atom. The crystal system is trigonal.



# 2
DFT (meta-GGA SCAN) results for La2ReSb at its PBEsol-relaxed geometry.

Cell and atoms, written as CIF:
```
data_La2ReSb
_chemical_formula_sum 'La2 Re1 Sb1'
_cell_length_a 3.869
_cell_length_b 3.869
_cell_length_c 6.774
_cell_angle_alpha 90.00
_cell_angle_beta 90.00
_cell_angle_gamma 90.00
_symmetry_space_group_name_H-M 'P 4/m m m'
_symmetry_Int_Tables_number 123
_symmetry_space_group_name_Hall '-P 4 2'
loop_
_atom_site_label
_atom_site_type_symbol
_atom_site_fract_x
_atom_site_fract_y
_atom_site_fract_z
_atom_site_occupancy
La1 La 0.000 0.000 0.232 1
Re1 Re 0.500 0.500 0.000 1
Sb1 Sb 0.500 0.500 0.500 1
```

Calculated values
The uncorrected formation energy comes out at -0.14 eV per atom. The crystal system is tetragonal.